i) The following is a DFT calculation (PBE) of a relaxed NbCdSb3 crystal.

```
NbCdSb3
1.0
5.380 0.000 0.000
0.000 5.380 0.000
0.000 0.000 5.380
Sb Nb Cd
3 1 1
Direct
0.000 0.500 0.000 Sb
0.000 0.000 0.500 Sb
0.500 0.000 0.000 Sb
0.000 0.000 0.000 Nb
0.500 0.500 0.500 Cd
```


ii) The following is a DFT calculation (PBE) of a relaxed NbCdSb3 crystal.

```
NbCdSb3
1.0
-2.480 -0.404 4.723
0.239 -5.334 -0.330
4.734 0.058 2.491
Sb Nb Cd
3 1 1
Direct
0.000 0.500 0.000 Sb
0.000 0.000 0.500 Sb
0.500 0.000 0.000 Sb
0.500 0.500 0.500 Nb
0.000 0.000 0.000 Cd
```


Quick look at relative energies in meV per atom: i) 0; ii) 1065.